1.
DFT (PBE) results for an optimized crystal structure of TiNb2Pd5.

Calculated values
ΔE_f: -0.290 eV per atom

a b c (Å): 5.479 10.519 4.551
angles (deg): 90.00 90.00 90.00
Space group Pbam (No. 55)
One atom of each set of equivalent atoms:
Ti 0.000 0.000 0.000 (multiplicity 2)
Nb 0.163 0.343 0.500 (multiplicity 4)
Pd 0.000 0.500 0.000 (multiplicity 2)
Pd 0.189 0.084 0.500 (multiplicity 4)
Pd 0.196 0.739 0.000 (multiplicity 4)

2.
DFT (PBE) results for an optimized crystal structure of CsCoI2.

Calculated values
formation energy from raw total energies: 0.13 eV/atom

a b c (Å): 8.416 8.416 8.416
angles (deg): 90.00 90.00 90.00
Space group Fm-3m (No. 225)
One atom of each set of equivalent atoms:
Cs 0.000 0.000 0.000 (multiplicity 4)
Co 0.000 0.000 0.500 (multiplicity 4)
I 0.250 0.250 0.250 (multiplicity 8)

3.
DFT (PBE) results for an optimized crystal structure of ErHfNbN3.

Calculated values
formation energy from raw total energies: -1.55 eV/atom

a b c (Å): 5.602 3.228 8.364
angles (deg): 90.00 102.83 90.00
Space group P2_1/m (No. 11)
One atom of each set of equivalent atoms:
Er 0.145 0.250 0.189 (multiplicity 2)
Hf 0.268 0.750 0.550 (multiplicity 2)
Nb 0.378 0.250 0.869 (multiplicity 2)
N 0.054 0.250 0.658 (multiplicity 2)
N 0.234 0.750 0.996 (multiplicity 2)
N 0.459 0.750 0.347 (multiplicity 2)

4.
DFT (PBE) results for an optimized crystal structure of K2Hf3UO12.

Calculated values
formation energy from raw total energies: -2.52 eV/atom

a b c (Å): 7.6577 7.6577 19.2618
angles (deg): 90.00 90.00 120.00
Space group R-3m (No. 166, hexagonal axes)
One atom of each set of equivalent atoms:
K 0.0000 0.0000 0.1051 (multiplicity 6)
Hf 0.0000 0.5000 0.0000 (multiplicity 9)
U 0.0000 0.0000 0.5000 (multiplicity 3)
O 0.0734 0.5367 0.3560 (multiplicity 18)
O 0.0817 0.5408 0.1051 (multiplicity 18)

5.
DFT (PBE) results for an optimized crystal structure of BaAg2Te.

Calculated values
formation energy from raw total energies: -0.38 eV/atom

a b c (Å): 5.060 5.060 21.358
angles (deg): 90.00 90.00 90.00
Space group I-42d (No. 122)
One atom of each set of equivalent atoms:
Ba 0.000 0.000 0.000 (multiplicity 4)
Ag 0.093 0.250 0.625 (multiplicity 8)
Te 0.000 0.000 0.500 (multiplicity 4)

6.
DFT (PBE) results for an optimized crystal structure of Al2CuSi.

Calculated values
formation energy from raw total energies: 0.05 eV/atom

a b c (Å): 3.0153 3.0153 23.0855
angles (deg): 90.00 90.00 120.00
Space group R-3m (No. 166, hexagonal axes)
One atom of each set of equivalent atoms:
Al 0.0000 0.0000 0.2480 (multiplicity 6)
Cu 0.0000 0.0000 0.5000 (multiplicity 3)
Si 0.0000 0.0000 0.0000 (multiplicity 3)